Entry from the Alexandria database: a relaxed structure of KPrIn2 (PBE-GGA).

abc: 3.9971 3.9971 8.5033
angles: 90.00 90.00 90.00
Space group P4/mmm (No. 123)
Unique sites:
1 K 0.0000 0.0000 0.0000 x1
2 Pr 0.0000 0.0000 0.5000 x1
3 In 0.5000 0.5000 0.2925 x2

Formation energy from the elements (eV/atom): -0.2353
Magnetization (μB/f.u.): 0.0
Energy relative to the lowest polymorph listed for this composition (eV per formula unit): 0.00